[1]
An optimized crystal structure of Zn5Hg. Source: Alexandria, functional PBEsol.

Computed properties:
The energy relative to the elements is 0.07 eV per atom. The density of states at the Fermi level comes out at 3.3 states/eV per cell. The value obtained for the total magnetic moment is 0.000 μB/atom.

Unit cell a=4.415 b=2.864 c=14.647 alpha=90.00 beta=90.00 gamma=90.00
Space group Amm2 (No. 38)
Inequivalent atoms, fractional coordinates:
Zn: 0.000 0.000 0.000 (multiplicity 2)
Zn: 0.000 0.000 0.312 (multiplicity 2)
Zn: 0.000 0.000 0.655 (multiplicity 2)
Zn: 0.500 0.000 0.106 (multiplicity 2)
Zn: 0.500 0.000 0.758 (multiplicity 2)
Hg: 0.500 0.000 0.429 (multiplicity 2)

=====

[2]
An optimized crystal structure of Zn5Hg. Source: Alexandria, functional PBEsol.

Computed properties:
The energy relative to the elements is 0.07 eV per atom. The density of states at the Fermi level comes out at 3.6 states/eV per cell. The value obtained for the total magnetic moment is 0.000 μB/atom.

Unit cell a=4.001 b=11.809 c=3.940 alpha=90.00 beta=90.00 gamma=90.00
Space group Cmmm (No. 65)
Inequivalent atoms, fractional coordinates:
Zn: 0.000 0.000 0.000 (multiplicity 2)
Zn: 0.000 0.172 0.500 (multiplicity 4)
Zn: 0.000 0.324 0.000 (multiplicity 4)
Hg: 0.000 0.500 0.500 (multiplicity 2)

=====

[3]
An optimized crystal structure of ZnHg2. Source: Alexandria, functional PBEsol.

Computed properties:
The energy relative to the elements is 0.10 eV per atom. The density of states at the Fermi level comes out at 3.3 states/eV per cell. The value obtained for the total magnetic moment is 0.000 μB/atom.

Unit cell a=6.493 b=6.493 c=6.493 alpha=90.00 beta=90.00 gamma=90.00
Space group Pa-3 (No. 205)
Inequivalent atoms, fractional coordinates:
Zn: 0.000 0.000 0.000 (multiplicity 4)
Hg: 0.141 0.641 0.859 (multiplicity 8)

=====

[4]
An optimized crystal structure of Zn3Hg. Source: Alexandria, functional PBEsol.

Computed properties:
The energy relative to the elements is 0.07 eV per atom. The density of states at the Fermi level comes out at 4.5 states/eV per cell. The value obtained for the total magnetic moment is 0.000 μB/atom.

Unit cell a=5.242 b=9.958 c=5.116 alpha=90.00 beta=90.00 gamma=90.00
Space group Cmcm (No. 63)
Inequivalent atoms, fractional coordinates:
Zn: 0.000 0.121 0.250 (multiplicity 4)
Zn: 0.248 0.121 0.750 (multiplicity 8)
Hg: 0.000 0.368 0.750 (multiplicity 4)

=====

[5]
An optimized crystal structure of ZnHg. Source: Alexandria, functional PBEsol.

Computed properties:
The energy relative to the elements is 0.06 eV per atom. The density of states at the Fermi level comes out at 1.5 states/eV per cell. The value obtained for the total magnetic moment is 0.000 μB/atom.

Unit cell a=4.2685 b=4.2685 c=5.0504 alpha=90.00 beta=90.00 gamma=120.00
Space group P6_3/mmc (No. 194)
Inequivalent atoms, fractional coordinates:
Zn: 0.0000 0.0000 0.0000 (multiplicity 2)
Hg: 0.3333 0.6667 0.2500 (multiplicity 2)

=====

[6]
An optimized crystal structure of ZnHg7. Source: Alexandria, functional PBEsol.

Computed properties:
The energy relative to the elements is 0.07 eV per atom. The density of states at the Fermi level comes out at 10.9 states/eV per cell. The value obtained for the total magnetic moment is 0.000 μB/atom.

Unit cell a=8.903 b=8.903 c=8.903 alpha=90.00 beta=90.00 gamma=90.00
Space group Fm-3m (No. 225)
Inequivalent atoms, fractional coordinates:
Zn: 0.000 0.000 0.000 (multiplicity 4)
Hg: 0.000 0.000 0.500 (multiplicity 4)
Hg: 0.000 0.250 0.250 (multiplicity 24)